# 1
# PBE Cd3BiPb3, optimized geometry
data_Cd3BiPb3
_space_group_name_H-M_alt 'R -3 m'
_space_group_IT_number 166
_space_group_name_Hall '-R 3 2"'
_cell_length_a 7.1188
_cell_length_b 7.1188
_cell_length_c 28.6463
_cell_angle_alpha 90.00
_cell_angle_beta 90.00
_cell_angle_gamma 120.00
loop_
_atom_site_label
_atom_site_fract_x
_atom_site_fract_y
_atom_site_fract_z
Cd1 0.0479 0.5239 0.3623
Bi1 0.0000 0.0000 0.2061
Pb1 0.0072 0.5036 0.2196
# - size of the total moment (μB per cell) = 0.00
# - polymorph energy (0 for the lowest one) (meV/atom) = 0
# - calculated volume (Å³/f.u.) = 210
# - ΔH_f (0 K) (eV/atom) = 0.0745
# - crystal system = trigonal

***

# 2
# PBE Cd3Bi2Pb3, optimized geometry
data_Cd3Bi2Pb3
_space_group_name_H-M_alt 'C 1 2/m 1'
_space_group_IT_number 12
_space_group_name_Hall '-C 2y'
_cell_length_a 20.5792
_cell_length_b 4.4489
_cell_length_c 5.2032
_cell_angle_alpha 90.00
_cell_angle_beta 102.96
_cell_angle_gamma 90.00
loop_
_atom_site_label
_atom_site_fract_x
_atom_site_fract_y
_atom_site_fract_z
Cd1 0.0000 0.0000 0.0000
Cd2 0.1193 0.0000 0.6380
Bi1 0.2385 0.5000 0.7407
Pb1 0.0000 0.5000 0.5000
Pb2 0.1231 0.5000 0.1387
# - size of the total moment (μB per cell) = 0.00
# - calculated volume (Å³/f.u.) = 232
# - ΔH_f (0 K) (eV/atom) = 0.0607
# - crystal system = monoclinic

***

# 3
# PBE CdBiPb2, optimized geometry
data_CdBiPb2
_space_group_name_H-M_alt 'P 4/m m m'
_space_group_IT_number 123
_space_group_name_Hall '-P 4 2'
_cell_length_a 3.9900
_cell_length_b 3.9900
_cell_length_c 7.5654
_cell_angle_alpha 90.00
_cell_angle_beta 90.00
_cell_angle_gamma 90.00
loop_
_atom_site_label
_atom_site_fract_x
_atom_site_fract_y
_atom_site_fract_z
Cd1 0.0000 0.0000 0.0000
Bi1 0.0000 0.0000 0.5000
Pb1 0.5000 0.5000 0.2442
# - size of the total moment (μB per cell) = 0.00
# - polymorph energy (0 for the lowest one) (meV/atom) = 30
# - calculated volume (Å³/f.u.) = 120
# - ΔH_f (0 K) (eV/atom) = 0.0622
# - crystal system = tetragonal

***

# 4
# PBE CdBi6Pb12, optimized geometry
data_CdBi6Pb12
_space_group_name_H-M_alt 'R -3'
_space_group_IT_number 148
_space_group_name_Hall '-R 3'
_cell_length_a 13.3139
_cell_length_b 13.3139
_cell_length_c 14.3337
_cell_angle_alpha 90.00
_cell_angle_beta 90.00
_cell_angle_gamma 120.00
loop_
_atom_site_label
_atom_site_fract_x
_atom_site_fract_y
_atom_site_fract_z
Cd1 0.0000 0.0000 0.0000
Bi1 0.0491 0.8181 0.6807
Pb1 0.0333 0.8052 0.9168
Pb2 0.0507 0.8141 0.4386
# - size of the total moment (μB per cell) = 0.00
# - polymorph energy (0 for the lowest one) (meV/atom) = 71
# - calculated volume (Å³/f.u.) = 733
# - ΔH_f (0 K) (eV/atom) = 0.1080
# - crystal system = trigonal

***

# 5
# PBE Cd3BiPb6, optimized geometry
data_Cd3BiPb6
_space_group_name_H-M_alt 'P 1 21/m 1'
_space_group_IT_number 11
_space_group_name_Hall '-P 2yb'
_cell_length_a 13.1053
_cell_length_b 3.4558
_cell_length_c 14.1754
_cell_angle_alpha 90.00
_cell_angle_beta 111.78
_cell_angle_gamma 90.00
loop_
_atom_site_label
_atom_site_fract_x
_atom_site_fract_y
_atom_site_fract_z
Cd1 0.0277 0.2500 0.4165
Cd2 0.1089 0.2500 0.9971
Cd3 0.2599 0.7500 0.3843
Bi1 0.4405 0.7500 0.8162
Pb1 0.0500 0.2500 0.2031
Pb2 0.1786 0.2500 0.7835
Pb3 0.2268 0.7500 0.5885
Pb4 0.3161 0.2500 0.2152
Pb5 0.3380 0.7500 0.0040
Pb6 0.4668 0.2500 0.5952
# - size of the total moment (μB per cell) = 0.00
# - calculated volume (Å³/f.u.) = 298
# - ΔH_f (0 K) (eV/atom) = 0.0527
# - crystal system = monoclinic

***

# 6
# PBE Cd4Bi3Pb2, optimized geometry
data_Cd4Bi3Pb2
_space_group_name_H-M_alt 'P -1'
_space_group_IT_number 2
_space_group_name_Hall '-P 1'
_cell_length_a 7.8094
_cell_length_b 8.3147
_cell_length_c 9.3733
_cell_angle_alpha 72.35
_cell_angle_beta 68.33
_cell_angle_gamma 82.41
loop_
_atom_site_label
_atom_site_fract_x
_atom_site_fract_y
_atom_site_fract_z
Cd1 0.0491 0.1712 0.2260
Cd2 0.2183 0.4667 0.9248
Cd3 0.3543 0.9328 0.2716
Cd4 0.3600 0.5594 0.4055
Bi1 0.0489 0.5379 0.2698
Bi2 0.1979 0.0917 0.9017
Bi3 0.3893 0.7617 0.6291
Pb1 0.1670 0.1707 0.5170
Pb2 0.4280 0.7330 0.0047
# - size of the total moment (μB per cell) = 0.00
# - calculated volume (Å³/f.u.) = 269
# - ΔH_f (0 K) (eV/atom) = 0.0559
# - crystal system = triclinic

***

# 7
# PBE Cd5Bi3Pb12, optimized geometry
data_Cd5Bi3Pb12
_space_group_name_H-M_alt 'I a -3 d'
_space_group_IT_number 230
_space_group_name_Hall '-I 4bd 2c 3'
_cell_length_a 18.3770
_cell_length_b 18.3770
_cell_length_c 18.3770
_cell_angle_alpha 90.00
_cell_angle_beta 90.00
_cell_angle_gamma 90.00
loop_
_atom_site_label
_atom_site_fract_x
_atom_site_fract_y
_atom_site_fract_z
Cd1 0.0000 0.0000 0.0000
Cd2 0.0000 0.2500 0.3750
Bi1 0.0000 0.2500 0.1250
Pb1 0.0064 0.0734 0.6501
# - size of the total moment (μB per cell) = 0.00
# - calculated volume (Å³/f.u.) = 776
# - ΔH_f (0 K) (eV/atom) = 0.2199
# - crystal system = cubic

***

# 8
# PBE CdBi2Pb6, optimized geometry
data_CdBi2Pb6
_space_group_name_H-M_alt 'P 42/m n m'
_space_group_IT_number 136
_space_group_name_Hall '-P 4n 2n'
_cell_length_a 10.6975
_cell_length_b 10.6975
_cell_length_c 4.8769
_cell_angle_alpha 90.00
_cell_angle_beta 90.00
_cell_angle_gamma 90.00
loop_
_atom_site_label
_atom_site_fract_x
_atom_site_fract_y
_atom_site_fract_z
Cd1 0.0000 0.0000 0.0000
Bi1 0.1604 0.1604 0.5000
Pb1 0.0007 0.3301 0.0000
Pb2 0.1632 0.8368 0.5000
# - size of the total moment (μB per cell) = 0.00
# - polymorph energy (0 for the lowest one) (meV/atom) = 0
# - calculated volume (Å³/f.u.) = 279
# - ΔH_f (0 K) (eV/atom) = 0.0307
# - crystal system = tetragonal

***

# 9
# PBE CdBiPb2, optimized geometry
data_CdBiPb2
_space_group_name_H-M_alt 'P 1 21/m 1'
_space_group_IT_number 11
_space_group_name_Hall '-P 2yb'
_cell_length_a 7.0658
_cell_length_b 4.9983
_cell_length_c 7.2102
_cell_angle_alpha 90.00
_cell_angle_beta 107.64
_cell_angle_gamma 90.00
loop_
_atom_site_label
_atom_site_fract_x
_atom_site_fract_y
_atom_site_fract_z
Cd1 0.1604 0.2500 0.2722
Bi1 0.1302 0.2500 0.7786
Pb1 0.3448 0.7500 0.5754
Pb2 0.3474 0.7500 0.0865
# - size of the total moment (μB per cell) = 0.00
# - polymorph energy (0 for the lowest one) (meV/atom) = 0
# - calculated volume (Å³/f.u.) = 121
# - ΔH_f (0 K) (eV/atom) = 0.0320
# - crystal system = monoclinic

***

# 10
# PBE Cd2Bi2Pb7, optimized geometry
data_Cd2Bi2Pb7
_space_group_name_H-M_alt 'C 1 2/m 1'
_space_group_IT_number 12
_space_group_name_Hall '-C 2y'
_cell_length_a 9.6617
_cell_length_b 9.8435
_cell_length_c 8.0463
_cell_angle_alpha 90.00
_cell_angle_beta 107.13
_cell_angle_gamma 90.00
loop_
_atom_site_label
_atom_site_fract_x
_atom_site_fract_y
_atom_site_fract_z
Cd1 0.0983 0.0000 0.1801
Bi1 0.0000 0.2829 0.0000
Pb1 0.0000 0.0000 0.5000
Pb2 0.1216 0.5000 0.3615
Pb3 0.1672 0.2713 0.6979
# - size of the total moment (μB per cell) = 0.00
# - polymorph energy (0 for the lowest one) (meV/atom) = 33
# - calculated volume (Å³/f.u.) = 366
# - ΔH_f (0 K) (eV/atom) = 0.0838
# - crystal system = monoclinic

***

# 11
# PBE CdBiPb, optimized geometry
data_CdBiPb
_space_group_name_H-M_alt 'C 1 2/m 1'
_space_group_IT_number 12
_space_group_name_Hall '-C 2y'
_cell_length_a 13.6187
_cell_length_b 4.4078
_cell_length_c 6.1328
_cell_angle_alpha 90.00
_cell_angle_beta 99.56
_cell_angle_gamma 90.00
loop_
_atom_site_label
_atom_site_fract_x
_atom_site_fract_y
_atom_site_fract_z
Cd1 0.2171 0.0000 0.3392
Bi1 0.0450 0.5000 0.2668
Pb1 0.1377 0.0000 0.8309
# - size of the total moment (μB per cell) = 0.00
# - calculated volume (Å³/f.u.) = 91
# - ΔH_f (0 K) (eV/atom) = 0.0740
# - crystal system = monoclinic

***

# 12
# PBE CdBi3Pb2, optimized geometry
data_CdBi3Pb2
_space_group_name_H-M_alt 'C 1 2/c 1'
_space_group_IT_number 15
_space_group_name_Hall '-C 2yc'
_cell_length_a 7.2086
_cell_length_b 6.9606
_cell_length_c 15.6021
_cell_angle_alpha 90.00
_cell_angle_beta 102.00
_cell_angle_gamma 90.00
loop_
_atom_site_label
_atom_site_fract_x
_atom_site_fract_y
_atom_site_fract_z
Cd1 0.0000 0.1349 0.2500
Bi1 0.0000 0.3123 0.7500
Bi2 0.1284 0.3350 0.0933
Pb1 0.1642 0.1357 0.5835
# - size of the total moment (μB per cell) = 0.00
# - calculated volume (Å³/f.u.) = 191
# - ΔH_f (0 K) (eV/atom) = 0.0509
# - crystal system = monoclinic

***

Please write out number 8 again, unchanged.
# PBE CdBi2Pb6, optimized geometry
data_CdBi2Pb6
_space_group_name_H-M_alt 'P 42/m n m'
_space_group_IT_number 136
_space_group_name_Hall '-P 4n 2n'
_cell_length_a 10.6975
_cell_length_b 10.6975
_cell_length_c 4.8769
_cell_angle_alpha 90.00
_cell_angle_beta 90.00
_cell_angle_gamma 90.00
loop_
_atom_site_label
_atom_site_fract_x
_atom_site_fract_y
_atom_site_fract_z
Cd1 0.0000 0.0000 0.0000
Bi1 0.1604 0.1604 0.5000
Pb1 0.0007 0.3301 0.0000
Pb2 0.1632 0.8368 0.5000
# - size of the total moment (μB per cell) = 0.00
# - polymorph energy (0 for the lowest one) (meV/atom) = 0
# - calculated volume (Å³/f.u.) = 279
# - ΔH_f (0 K) (eV/atom) = 0.0307
# - crystal system = tetragonal